This record from the Alexandria database describes a relaxed structure of Pm6Sm3DyTm2. The functional is PBE-GGA.

Total magnetization: 0.00 μB/cell
DFT formation energy: 0.02 eV/atom
SG: C2/m

Unit cell a=6.2603 b=6.2603 c=11.9072 alpha=95.02 beta=95.02 gamma=120.00
Last column: nearest neighbours and their distance in Å.
Sites, in units of the cell vectors:
1 Pm 0.9172 0.5834 0.7535  2 Tm 3.56-3.57, 1 Dy 3.57, 6 Pm 3.61-3.62, 3 Sm 3.63
2 Pm 0.7491 0.7491 0.2465  1 Dy 3.56, 2 Tm 3.56, 6 Pm 3.61-3.62, 3 Sm 3.63
3 Pm 0.0828 0.4166 0.2465  2 Tm 3.56-3.57, 1 Dy 3.57, 6 Pm 3.61-3.62, 3 Sm 3.63
4 Pm 0.5834 0.9172 0.7535  2 Tm 3.56-3.57, 1 Dy 3.57, 6 Pm 3.61-3.62, 3 Sm 3.63
5 Pm 0.2509 0.2509 0.7535  1 Dy 3.56, 2 Tm 3.56, 6 Pm 3.61-3.62, 3 Sm 3.63
6 Pm 0.4166 0.0828 0.2465  2 Tm 3.56-3.57, 1 Dy 3.57, 6 Pm 3.61-3.62, 3 Sm 3.63
7 Sm 0.1668 0.8332 0.5000  6 Sm 3.61-3.62, 6 Pm 3.63
8 Sm 0.8332 0.1668 0.5000  6 Sm 3.61-3.62, 6 Pm 3.63
9 Sm 0.5000 0.5000 0.5000  6 Sm 3.61-3.62, 6 Pm 3.63
10 Dy 0.0000 0.0000 0.0000  6 Pm 3.56-3.57, 6 Tm 3.61
11 Tm 0.3334 0.6666 0.0000  6 Pm 3.56-3.57, 3 Tm 3.61, 3 Dy 3.61
12 Tm 0.6666 0.3334 0.0000  6 Pm 3.56-3.57, 3 Tm 3.61, 3 Dy 3.61